Entry a
# YBe2Au

YBe2Au after structural relaxation (GGA-PBE, Alexandria).

a = 3.9783 Å, b = 3.9783 Å, c = 5.3716 Å
α = 68.28°, β = 68.28°, γ = 60.03°
Last column: nearest neighbours and their distance in Å.
Positions (direct):
1 Y 0.7500 0.7500 0.7500  8 Be 2.90-3.02
2 Be 0.9488 0.9488 0.1536  3 Au 2.34, 3 Be 2.48
3 Be 0.5512 0.5512 0.3464  3 Au 2.34, 3 Be 2.48
4 Au 0.2500 0.2500 0.2500  6 Be 2.34

Results
size of the total moment: 0.0 μB per cell
space group: R-3m, No. 166
DOS(E_F): 3.1 states/eV/f.u.

---

Entry b
# YBe2Au

YBe2Au after structural relaxation (GGA-PBE, Alexandria).

a = 4.6440 Å, b = 4.6440 Å, c = 4.6440 Å
α = 127.48°, β = 114.32°, γ = 88.83°
Last column: nearest neighbours and their distance in Å.
Positions (direct):
1 Y 0.5092 0.5092 0.0000  5 Be 2.80-3.02, 4 Au 2.83-2.89
2 Be 0.9647 0.9647 0.0000  2 Be 2.26
3 Be 0.8236 0.3236 0.5000  2 Be 2.26, 1 Au 2.51
4 Au 0.2025 0.7025 0.5000  3 Be 2.51-2.59

Results
size of the total moment: 0.0 μB per cell
space group: Imm2, No. 44
DOS(E_F): 1.8 states/eV/f.u.

---

entry a is preferred energetically. Next in line: 0.275 eV/atom higher.

---

Entry a
# YBe2Au

YBe2Au after structural relaxation (GGA-PBE, Alexandria).

a = 4.3371 Å, b = 4.3371 Å, c = 8.5540 Å
α = 75.31°, β = 75.31°, γ = 90.00°
Last column: nearest neighbours and their distance in Å.
Positions (direct):
1 Y 0.5000 0.5000 0.0000  4 Au 3.07, 8 Be 3.14
2 Y 0.2500 0.7500 0.5000  4 Au 3.07, 8 Be 3.14
3 Be 0.8752 0.1250 0.2500  2 Be 2.17, 2 Au 2.27
4 Be 0.8748 0.6250 0.2500  2 Be 2.17, 2 Au 2.27
5 Be 0.3750 0.1248 0.7500  2 Be 2.17, 2 Au 2.27
6 Be 0.8750 0.1252 0.7500  2 Be 2.17, 2 Au 2.27
7 Au 0.0000 0.0000 0.0000  4 Be 2.27
8 Au 0.7500 0.2500 0.5000  4 Be 2.27

Results
size of the total moment: 0.0 μB per cell
space group: I4_1/amd, No. 141
DOS(E_F): 3.8 states/eV/f.u.

---

Entry b
# YBe2Au

YBe2Au after structural relaxation (GGA-PBE, Alexandria).

a = 3.1350 Å, b = 3.1350 Å, c = 6.5218 Å
α = 90.00°, β = 90.00°, γ = 90.00°
Last column: nearest neighbours and their distance in Å.
Positions (direct):
1 Y 0.5000 0.5000 0.2500  8 Be 3.02, 4 Y 3.14, 2 Au 3.26
2 Be 0.0000 0.0000 0.9366  1 Be 2.43, 4 Au 2.53
3 Be 0.0000 0.0000 0.5634  1 Be 2.43, 4 Au 2.53
4 Au 0.5000 0.5000 0.7500  8 Be 2.53

Results
size of the total moment: 0.0 μB per cell
space group: P4/mmm, No. 123
DOS(E_F): 2.1 states/eV/f.u.

---

Entry c
# YBe2Au

YBe2Au after structural relaxation (GGA-PBE, Alexandria).

a = 4.4163 Å, b = 4.4163 Å, c = 4.4163 Å
α = 60.00°, β = 60.00°, γ = 60.00°
Last column: nearest neighbours and their distance in Å.
Positions (direct):
1 Y 0.0000 0.0000 0.0000  8 Be 2.70
2 Be 0.2500 0.2500 0.2500  4 Y 2.70, 4 Au 2.70
3 Be 0.7500 0.7500 0.7500  4 Au 2.70, 4 Y 2.70
4 Au 0.5000 0.5000 0.5000  8 Be 2.70

Results
size of the total moment: 0.0 μB per cell
space group: Fm-3m, No. 225
DOS(E_F): 0.9 states/eV/f.u.

---

entry c is preferred energetically. Next in line: 0.074 eV/atom higher.

---

Entry a
# BeZn3Au6

BeZn3Au6 after structural relaxation (GGA-PBE, Alexandria).

a = 4.5083 Å, b = 7.7066 Å, c = 9.7663 Å
α = 107.98°, β = 90.00°, γ = 90.00°
Last column: nearest neighbours and their distance in Å.
Positions (direct):
1 Be 0.2500 0.9614 0.5897  8 Au 2.42-2.69
2 Be 0.7500 0.0386 0.4103  8 Au 2.42-2.69
3 Zn 0.2500 0.5176 0.3770  6 Au 2.69-2.86, 2 Zn 2.92
4 Zn 0.7500 0.4824 0.6230  6 Au 2.69-2.86, 2 Zn 2.92
5 Zn 0.2500 0.3967 0.7802  8 Au 2.65-2.90, 2 Zn 2.92
6 Zn 0.7500 0.6033 0.2198  8 Au 2.65-2.90, 2 Zn 2.92
7 Zn 0.2500 0.7762 0.9821  10 Au 2.80-3.05, 1 Zn 2.98
8 Zn 0.7500 0.2238 0.0179  10 Au 2.80-3.05, 1 Zn 2.98
9 Au 0.2500 0.4721 0.0832  7 Zn 2.65-2.90, 3 Au 2.85-2.89
10 Au 0.7500 0.5279 0.9168  7 Zn 2.65-2.90, 3 Au 2.85-2.89
11 Au 0.2500 0.1432 0.1593  4 Zn 2.81-3.01, 7 Au 2.85-3.14
12 Au 0.7500 0.8568 0.8407  4 Zn 2.81-3.01, 7 Au 2.85-3.14
13 Au 0.2500 0.6814 0.6630  1 Be 2.47, 4 Zn 2.69-2.77
14 Au 0.7500 0.3186 0.3370  1 Be 2.47, 4 Zn 2.69-2.77
15 Au 0.2500 0.2215 0.4950  3 Be 2.45-2.65, 1 Zn 2.70
16 Au 0.7500 0.7785 0.5050  3 Be 2.45-2.65, 1 Zn 2.70
17 Au 0.2500 0.8447 0.3224  3 Be 2.49-2.69, 1 Zn 2.73
18 Au 0.7500 0.1553 0.6776  3 Be 2.49-2.69, 1 Zn 2.73
19 Au 0.2500 0.0872 0.8498  1 Be 2.42, 1 Zn 2.67
20 Au 0.7500 0.9128 0.1502  1 Be 2.42, 1 Zn 2.67

Results
size of the total moment: 0.0 μB per cell
space group: P2_1/m, No. 11
DOS(E_F): 1.9 states/eV/f.u.

---

Entry b
# BeZn3Au6

BeZn3Au6 after structural relaxation (GGA-PBE, Alexandria).

a = 7.3375 Å, b = 5.4318 Å, c = 5.4318 Å
α = 61.11°, β = 71.03°, γ = 71.03°
Last column: nearest neighbours and their distance in Å.
Positions (direct):
1 Be 0.5000 0.5000 0.5000  6 Au 2.33-2.55
2 Zn 0.2626 0.1625 0.1625  7 Au 2.74-2.87, 1 Zn 2.87
3 Zn 0.7374 0.8375 0.8375  7 Au 2.74-2.87, 1 Zn 2.87
4 Zn 0.0000 0.0000 0.0000  6 Au 2.64-2.65, 2 Zn 2.87
5 Au 0.3308 0.1421 0.6404  1 Be 2.33
6 Au 0.6692 0.3596 0.8579  1 Be 2.33
7 Au 0.6692 0.8579 0.3596  1 Be 2.33
8 Au 0.3308 0.6404 0.1421  1 Be 2.33
9 Au 0.1460 0.6944 0.6944  1 Be 2.55, 2 Zn 2.65-2.78
10 Au 0.8540 0.3056 0.3056  1 Be 2.55, 2 Zn 2.65-2.78

Results
size of the total moment: 0.0 μB per cell
space group: C2/m, No. 12
DOS(E_F): 1.4 states/eV/f.u.

---

entry a is preferred energetically. Next in line: 0.061 eV/atom higher.

---

Entry a
# BeZnAu2

BeZnAu2 after structural relaxation (GGA-PBE, Alexandria).

a = 4.3625 Å, b = 4.3625 Å, c = 3.1095 Å
α = 90.00°, β = 90.00°, γ = 90.00°
Last column: nearest neighbours and their distance in Å.
Positions (direct):
1 Be 0.5000 0.5000 0.5000  8 Au 2.68
2 Zn 0.0000 0.0000 0.5000  8 Au 2.68
3 Au 0.0000 0.5000 0.0000  4 Be 2.68, 4 Zn 2.68
4 Au 0.5000 0.0000 0.0000  4 Be 2.68, 4 Zn 2.68

Results
size of the total moment: 0.0 μB per cell
space group: P4/mmm, No. 123
DOS(E_F): 1.3 states/eV/f.u.

---

Entry b
# BeZnAu2

BeZnAu2 after structural relaxation (GGA-PBE, Alexandria).

a = 2.8813 Å, b = 4.1332 Å, c = 5.1946 Å
α = 90.00°, β = 106.08°, γ = 90.00°
Last column: nearest neighbours and their distance in Å.
Positions (direct):
1 Be 0.9278 0.0000 0.4112  2 Zn 2.55, 7 Au 2.60-2.81
2 Zn 0.7666 0.5000 0.1123  2 Be 2.55, 7 Au 2.66-2.75
3 Au 0.4963 0.5000 0.5621  4 Be 2.62-2.64, 3 Zn 2.66-2.75, 2 Au 2.88
4 Au 0.1757 0.0000 0.9324  3 Be 2.60-2.81, 4 Zn 2.67-2.68, 2 Au 2.88

Results
size of the total moment: 0.0 μB per cell
space group: Pm, No. 6
DOS(E_F): 0.9 states/eV/f.u.

---

Entry c
# BeZnAu2

BeZnAu2 after structural relaxation (GGA-PBE, Alexandria).

a = 3.1358 Å, b = 3.1358 Å, c = 6.0918 Å
α = 90.00°, β = 90.00°, γ = 90.00°
Last column: nearest neighbours and their distance in Å.
Positions (direct):
1 Be 0.5000 0.5000 0.3847  4 Au 2.47, 4 Zn 2.68
2 Zn 0.0000 0.0000 0.6322  5 Au 2.59-2.65, 4 Be 2.68
3 Au 0.0000 0.0000 0.2078  4 Be 2.47, 1 Zn 2.59
4 Au 0.5000 0.5000 0.8714  4 Zn 2.65, 1 Be 2.97

Results
size of the total moment: 0.0 μB per cell
space group: P4mm, No. 99
DOS(E_F): 1.0 states/eV/f.u.

---

Entry d
# BeZnAu2

BeZnAu2 after structural relaxation (GGA-PBE, Alexandria).

a = 8.3177 Å, b = 8.3178 Å, c = 8.3178 Å
α = 20.39°, β = 20.39°, γ = 20.39°
Last column: nearest neighbours and their distance in Å.
Positions (direct):
1 Be 0.2500 0.2500 0.2500  6 Au 2.46
2 Zn 0.7500 0.7500 0.7500  6 Au 2.85, 6 Zn 2.94-2.95
3 Au 0.9897 0.9897 0.9897  3 Be 2.46
4 Au 0.5103 0.5103 0.5103  3 Be 2.46

Results
size of the total moment: 0.0 μB per cell
space group: R-3m, No. 166
DOS(E_F): 1.2 states/eV/f.u.

---

entry a is preferred energetically. Next in line: 0.015 eV/atom higher.

---

Entry a
# BeZnAu2

BeZnAu2 after structural relaxation (GGA-PBE, Alexandria).

a = 4.0195 Å, b = 2.7553 Å, c = 12.8465 Å
α = 90.00°, β = 90.00°, γ = 90.00°
Last column: nearest neighbours and their distance in Å.
Positions (direct):
1 Be 0.7060 0.0000 0.1257  6 Au 2.42-2.46, 2 Zn 2.60
2 Be 0.7060 0.5000 0.6257  6 Au 2.42-2.46, 2 Zn 2.60
3 Zn 0.7063 0.0000 0.7975  2 Be 2.60, 4 Au 2.62-2.73, 2 Zn 2.76
4 Zn 0.7063 0.5000 0.2975  2 Be 2.60, 4 Au 2.62-2.73, 2 Zn 2.76
5 Au 0.2064 0.0000 0.6537  4 Be 2.46, 2 Zn 2.73, 2 Au 2.76
6 Au 0.2064 0.5000 0.1537  4 Be 2.46, 2 Zn 2.73, 2 Au 2.76
7 Au 0.7089 0.0000 0.4710  2 Be 2.42, 2 Zn 2.62
8 Au 0.7089 0.5000 0.9710  2 Be 2.42, 2 Zn 2.62

Results
size of the total moment: 0.0 μB per cell
space group: Cm, No. 8
DOS(E_F): 1.3 states/eV/f.u.

---

Entry b
# BeZnAu2

BeZnAu2 after structural relaxation (GGA-PBE, Alexandria).

a = 4.7201 Å, b = 4.7201 Å, c = 4.7201 Å
α = 134.08°, β = 124.89°, γ = 74.48°
Last column: nearest neighbours and their distance in Å.
Positions (direct):
1 Be 0.7500 0.2500 0.5000  4 Au 2.41
2 Zn 0.2500 0.7500 0.5000  8 Au 2.68-2.87, 4 Be 2.86
3 Au 0.9575 0.9575 0.0000  2 Be 2.41, 2 Zn 2.68
4 Au 0.5425 0.5425 0.0000  2 Be 2.41, 2 Zn 2.68

Results
size of the total moment: 0.0 μB per cell
space group: Immm, No. 71
DOS(E_F): 0.9 states/eV/f.u.

---

entry b is preferred energetically. Next in line: 0.015 eV/atom higher.

---

Entry a
# BeZn2Au8

BeZn2Au8 after structural relaxation (GGA-PBE, Alexandria).

a = 4.5061 Å, b = 5.9893 Å, c = 7.8403 Å
α = 111.86°, β = 106.70°, γ = 90.00°
Last column: nearest neighbours and their distance in Å.
Positions (direct):
1 Be 0.5000 0.0000 0.0000  4 Au 2.36
2 Zn 0.8177 0.3167 0.6354  11 Au 2.77-3.08
3 Zn 0.1823 0.6833 0.3646  11 Au 2.77-3.08
4 Au 0.3778 0.6071 0.7557  1 Be 2.36
5 Au 0.6323 0.8798 0.2646  1 Be 2.36
6 Au 0.8066 0.7917 0.6132  4 Zn 2.84-3.08, 8 Au 2.86-3.07
7 Au 0.9959 0.2423 0.9919  2 Be 2.69, 5 Au 2.86-2.95, 2 Zn 2.88-3.01
8 Au 0.1934 0.2083 0.3868  4 Zn 2.84-3.08, 8 Au 2.86-3.07
9 Au 0.3677 0.1202 0.7354  1 Be 2.36
10 Au 0.6222 0.3929 0.2443  1 Be 2.36
11 Au 0.0041 0.7577 0.0081  2 Be 2.69, 5 Au 2.86-2.95, 2 Zn 2.88-3.01

Results
size of the total moment: 0.0 μB per cell
space group: C2/m, No. 12
DOS(E_F): 3.1 states/eV/f.u.

---

Entry b
# BeZn2Au8

BeZn2Au8 after structural relaxation (GGA-PBE, Alexandria).

a = 4.0088 Å, b = 7.7484 Å, c = 7.4912 Å
α = 121.14°, β = 105.52°, γ = 90.00°
Last column: nearest neighbours and their distance in Å.
Positions (direct):
1 Be 0.5000 0.0000 0.0000  4 Au 2.49
2 Zn 0.1904 0.6905 0.3809  8 Au 2.71-2.73
3 Zn 0.8096 0.3095 0.6191  8 Au 2.71-2.73
4 Au 0.6621 0.8979 0.3243  3 Zn 2.72-2.73, 1 Be 2.84, 6 Au 2.85-2.94
5 Au 0.3379 0.5736 0.6757  3 Zn 2.72-2.73, 1 Be 2.84, 6 Au 2.85-2.94
6 Au 0.1215 0.1215 0.2430  2 Be 2.49
7 Au 0.0000 0.3204 0.0000  2 Zn 2.71, 7 Au 2.78-2.89
8 Au 0.8785 0.8785 0.7570  2 Be 2.49
9 Au 0.6621 0.4264 0.3243  3 Zn 2.72-2.73, 1 Be 2.84, 6 Au 2.85-2.94
10 Au 0.3379 0.1021 0.6757  3 Zn 2.72-2.73, 1 Be 2.84, 6 Au 2.85-2.94
11 Au 0.0000 0.6796 0.0000  2 Zn 2.71, 7 Au 2.78-2.89

Results
size of the total moment: 0.0 μB per cell
space group: Immm, No. 71
DOS(E_F): 3.2 states/eV/f.u.

---

entry a is preferred energetically. Next in line: 0.042 eV/atom higher.